This record from the Alexandria database describes an optimized crystal structure of SiNi2Hg. The functional is PBE-GGA.

The structure in CIF format:
```
data_SiNi2Hg
_cell_length_a 6.468
_cell_length_b 3.774
_cell_length_c 5.448
_cell_angle_alpha 90.00
_cell_angle_beta 112.91
_cell_angle_gamma 90.00
_symmetry_space_group_name_H-M 'C 1 m 1'
_symmetry_Int_Tables_number 8
loop_
_symmetry_equiv_pos_as_xyz
'x,y,z'
'x,-y,z'
'x+1/2,y+1/2,z'
'x+1/2,-y+1/2,z'
loop_
_atom_site_label
_atom_site_fract_x
_atom_site_fract_y
_atom_site_fract_z
_atom_site_occupancy
Si1 0.000 0.000 0.000 1
Ni1 0.114 0.500 0.842 1
Ni2 0.379 0.000 0.136 1
Hg1 0.323 0.500 0.472 1
```

Results
- Spin magnetization: 0.00 μB per formula unit
- Formation energy (no corrections): -0.089 eV per atom
- N(E_F): 3.270 states/eV/cell
- Excess energy over the best structure of this formula in the dataset: 9.69 kJ per mole of atoms
- Raw total energy: -4.411 eV per atom

=====

This record from the Alexandria database describes an optimized crystal structure of CeTmPb2. The functional is PBE-GGA.

The structure in CIF format:
```
data_CeTmPb2
_cell_length_a 8.915
_cell_length_b 10.348
_cell_length_c 4.966
_cell_angle_alpha 90.00
_cell_angle_beta 90.00
_cell_angle_gamma 90.00
_symmetry_space_group_name_H-M 'C m c m'
_symmetry_Int_Tables_number 63
_symmetry_space_group_name_Hall '-C 2c 2'
loop_
_atom_site_label
_atom_site_fract_x
_atom_site_fract_y
_atom_site_fract_z
_atom_site_occupancy
Ce1 0.000 0.127 0.250 1
Tm1 0.000 0.377 0.750 1
Pb1 0.246 0.376 0.250 1
```

Results
- Spin magnetization: 1.57 μB per formula unit
- N(E_F): 32.319 states/eV/cell
- Raw total energy: -4.837 eV per atom

=====

This record from the Alexandria database describes an optimized crystal structure of ZrSi3Ag. The functional is PBE-GGA.

The structure in CIF format:
```
data_ZrSi3Ag
_cell_length_a 5.082
_cell_length_b 5.082
_cell_length_c 5.082
_cell_angle_alpha 90.00
_cell_angle_beta 90.00
_cell_angle_gamma 90.00
_symmetry_space_group_name_H-M 'P m -3 m'
_symmetry_Int_Tables_number 221
_symmetry_space_group_name_Hall '-P 4 2 3'
loop_
_atom_site_label
_atom_site_fract_x
_atom_site_fract_y
_atom_site_fract_z
_atom_site_occupancy
Zr1 0.000 0.000 0.000 1
Si1 0.000 0.000 0.500 1
Ag1 0.500 0.500 0.500 1
```

Results
- Spin magnetization: 0.00 μB per formula unit
- Formation energy (no corrections): 0.910 eV per atom
- N(E_F): 3.704 states/eV/cell
- Excess energy over the best structure of this formula in the dataset: 0.00 kJ per mole of atoms
- Raw total energy: -4.624 eV per atom

=====

This record from the Alexandria database describes an optimized crystal structure of CaY2Ir. The functional is PBE-GGA.

The structure in CIF format:
```
data_CaY2Ir
_cell_length_a 6.385
_cell_length_b 10.004
_cell_length_c 3.346
_cell_angle_alpha 90.00
_cell_angle_beta 111.74
_cell_angle_gamma 90.00
_symmetry_space_group_name_H-M 'C 1 2/m 1'
_symmetry_Int_Tables_number 12
loop_
_symmetry_equiv_pos_as_xyz
'x,y,z'
'-x,-y,-z'
'-x,y,-z'
'x,-y,z'
'x+1/2,y+1/2,z'
'-x+1/2,-y+1/2,-z'
'-x+1/2,y+1/2,-z'
'x+1/2,-y+1/2,z'
loop_
_atom_site_label
_atom_site_fract_x
_atom_site_fract_y
_atom_site_fract_z
_atom_site_occupancy
Ca1 0.000 0.000 0.000 1
Y1 0.250 0.250 0.500 1
Ir1 0.000 0.500 0.000 1
```

Results
- Spin magnetization: 0.00 μB per formula unit
- N(E_F): 8.596 states/eV/cell
- Excess energy over the best structure of this formula in the dataset: 49.90 kJ per mole of atoms
- Raw total energy: -5.833 eV per atom

=====

This record from the Alexandria database describes an optimized crystal structure of MgGa4Ag4. The functional is PBE-GGA.

The structure in CIF format:
```
data_MgGa4Ag4
_cell_length_a 4.284
_cell_length_b 5.017
_cell_length_c 8.604
_cell_angle_alpha 93.17
_cell_angle_beta 90.10
_cell_angle_gamma 115.14
_symmetry_space_group_name_H-M 'P -1'
_symmetry_Int_Tables_number 2
loop_
_symmetry_equiv_pos_as_xyz
'x,y,z'
'-x,-y,-z'
loop_
_atom_site_label
_atom_site_fract_x
_atom_site_fract_y
_atom_site_fract_z
_atom_site_occupancy
Mg1 0.000 0.000 0.000 1
Ga1 0.214 0.429 0.393 1
Ga2 0.389 0.777 0.781 1
Ag1 0.083 0.164 0.666 1
Ag2 0.319 0.638 0.099 1
```

Results
- Spin magnetization: 0.00 μB per formula unit
- N(E_F): 2.638 states/eV/cell
- Excess energy over the best structure of this formula in the dataset: 0.00 kJ per mole of atoms
- Raw total energy: -2.815 eV per atom

=====

This record from the Alexandria database describes an optimized crystal structure of Sc2TiGa2Ru5. The functional is PBE-GGA.

The structure in CIF format:
```
data_Sc2TiGa2Ru5
_cell_length_a 9.805
_cell_length_b 9.805
_cell_length_c 3.317
_cell_angle_alpha 90.00
_cell_angle_beta 90.00
_cell_angle_gamma 90.00
_symmetry_space_group_name_H-M 'P 4/m b m'
_symmetry_Int_Tables_number 127
_symmetry_space_group_name_Hall '-P 4 2ab'
loop_
_atom_site_label
_atom_site_fract_x
_atom_site_fract_y
_atom_site_fract_z
_atom_site_occupancy
Sc1 0.168 0.332 0.000 1
Ti1 0.000 0.000 0.000 1
Ga1 0.131 0.631 0.000 1
Ru1 0.000 0.500 0.500 1
Ru2 0.068 0.806 0.500 1
```

Results
- Spin magnetization: 0.00 μB per formula unit
- N(E_F): 21.190 states/eV/cell
- Raw total energy: -7.689 eV per atom